LaInMo2 at its PBEsol-relaxed geometry, computed with SCAN.

Values from the calculation:
E (eV/atom): -36.165
Calculated formation energy (meV per atom): 401

```
data_LaInMo2
_space_group_name_H-M_alt 'P 4/m m m'
_space_group_IT_number 123
_space_group_name_Hall '-P 4 2'
_cell_length_a 3.623
_cell_length_b 3.623
_cell_length_c 6.676
_cell_angle_alpha 90.00
_cell_angle_beta 90.00
_cell_angle_gamma 90.00
loop_
_atom_site_label
_atom_site_type_symbol
_atom_site_fract_x
_atom_site_fract_y
_atom_site_fract_z
La1 La 0.000 0.000 0.000
In1 In 0.000 0.000 0.500
Mo1 Mo 0.500 0.500 0.327
```